VASP calculation (PBE) on Hf2ScSnSb after structural relaxation.

Structure (POSCAR):
```
Hf2ScSnSb
1.0
-4.730 0.959 2.144
-0.485 -5.398 1.344
2.303 0.952 4.655
Sb Sn Hf Sc
1 1 2 1
Cartesian
-0.243 -2.699 0.672
0.000 0.000 0.000
-2.365 0.479 1.072
1.151 0.476 2.328
-1.456 -1.744 4.071
```

Values from the calculation:
size of the total moment: 1.4 μB per formula unit
formation energy (no corrections): 991 meV/atom

VASP calculation (PBE) on SrCa2Nd after structural relaxation.

Structure (POSCAR):
```
SrCa2Nd
1.0
3.891 0.000 0.000
1.946 3.370 0.000
1.946 1.123 12.906
Nd Sr Ca
1 1 2
Cartesian
3.891 2.247 6.458
5.837 3.370 12.900
1.946 1.123 3.411
1.946 1.123 9.495
```

Values from the calculation:
excess energy over the best structure of this formula in the dataset: 0.03 eV/f.u.
size of the total moment: 0.9 μB per formula unit
formation energy from the elements: 78 meV per atom

VASP calculation (PBE) on Ca4Ag5 after structural relaxation.

Structure (POSCAR):
```
Ca4Ag5
1.0
-0.026 3.903 -8.173
-7.416 0.312 5.190
2.057 5.480 2.611
Ag Ca
10 8
Cartesian
-3.656 7.055 -0.126
-4.952 1.509 0.736
-3.924 4.249 2.041
-4.666 1.588 4.279
-2.489 2.706 -3.719
1.535 5.286 -0.505
-1.728 2.640 -0.246
0.497 4.097 -5.057
-0.692 4.204 3.522
-1.460 5.446 -2.413
1.029 2.740 1.305
-2.225 1.485 2.570
0.000 0.000 0.000
-1.205 5.667 0.856
-3.134 4.307 5.231
1.527 6.572 -3.196
0.505 2.812 -2.366
-4.178 4.028 -1.228
```

Values from the calculation:
excess energy over the best structure of this formula in the dataset: 0.00 eV/f.u.
size of the total moment: 0.0 μB per formula unit
formation energy from the elements: -208 meV per atom

VASP calculation (PBE) on MgZn2In2 after structural relaxation.

Structure (POSCAR):
```
MgZn2In2
1.0
-1.066 6.885 -4.019
3.155 -3.360 -6.591
-3.151 -1.054 -0.970
In Mg Zn
4 2 4
Cartesian
1.099 3.779 -7.673
-0.242 3.933 -3.486
2.331 -0.408 -7.124
0.990 -0.254 -2.938
0.000 0.000 0.000
1.044 1.762 -5.305
0.341 -1.635 -5.504
-1.423 1.252 -2.912
0.361 1.219 -8.669
-1.403 4.105 -6.077
```

Values from the calculation:
excess energy over the best structure of this formula in the dataset: 0.42 eV/f.u.
size of the total moment: 0.0 μB per formula unit
formation energy from the elements: 119 meV per atom

VASP calculation (PBE) on MgZr2SnN after structural relaxation.

Structure (POSCAR):
```
MgZr2SnN
1.0
-2.378 -3.647 -1.348
3.410 -2.716 1.331
-1.770 -0.298 3.926
N Zr Sn Mg
1 2 1 1
Cartesian
0.000 0.000 0.000
1.705 -1.358 0.666
-1.189 -1.824 -0.674
-0.369 -3.330 1.954
-0.885 -0.149 1.963
```

Values from the calculation:
size of the total moment: 0.0 μB per formula unit
formation energy (no corrections): -712 meV/atom

VASP calculation (PBE) on Pr2MgSnPt6 after structural relaxation.

Structure (POSCAR):
```
Pr2MgSnPt6
1.0
-4.738 1.671 2.569
-1.418 -8.478 2.897
-1.141 -5.104 7.409
Pt Sn Pr Mg
6 1 2 1
Cartesian
-2.118 -4.199 5.022
-5.178 -7.712 7.853
-1.547 -1.761 1.409
-5.750 -10.150 11.466
-3.397 -10.980 10.190
-3.900 -0.931 2.684
0.000 0.000 0.000
-4.526 -2.483 5.661
-2.771 -9.427 7.213
-3.078 -3.404 2.733
```

Values from the calculation:
size of the total moment: 0.0 μB per formula unit
formation energy from the elements: -712 meV per atom

Please write out number 2 again, unchanged.
VASP calculation (PBE) on SrCa2Nd after structural relaxation.

Structure (POSCAR):
```
SrCa2Nd
1.0
3.891 0.000 0.000
1.946 3.370 0.000
1.946 1.123 12.906
Nd Sr Ca
1 1 2
Cartesian
3.891 2.247 6.458
5.837 3.370 12.900
1.946 1.123 3.411
1.946 1.123 9.495
```

Values from the calculation:
excess energy over the best structure of this formula in the dataset: 0.03 eV/f.u.
size of the total moment: 0.9 μB per formula unit
formation energy from the elements: 78 meV per atom